First-principles (GGA-PBE) data for a relaxed Ca5As3O14 crystal, as listed in Alexandria.

Structure (CIF):
```
data_Ca5As3O14
_chemical_formula_sum 'Ca10 As6 O28'
_cell_length_a 10.0591
_cell_length_b 10.0591
_cell_length_c 6.9446
_cell_angle_alpha 90.00
_cell_angle_beta 90.00
_cell_angle_gamma 120.00
_space_group_name_H-M_alt 'P 63/m'
_space_group_IT_number 176
_space_group_name_Hall '-P 6c'
loop_
_atom_site_label
_atom_site_type_symbol
_atom_site_fract_x
_atom_site_fract_y
_atom_site_fract_z
_atom_site_occupancy
Ca1 Ca 0.0205 0.7635 0.2500 1
Ca2 Ca 0.3333 0.6667 0.5031 1
As1 As 0.0277 0.4060 0.2500 1
O1 O 0.0000 0.0000 0.0962 1
O2 O 0.0872 0.3438 0.0543 1
O3 O 0.1363 0.6049 0.2500 1
O4 O 0.1640 0.6568 0.7500 1
```

Properties
Formation energy from raw total energies (eV/atom): -2.159
Calculated total energy (eV/atom): -6.4035